A plane-wave DFT calculation with GGA-PBE was carried out for a relaxed structure of SrSiSnPt2.

a b c (Å): 4.4843 4.4843 10.3945
angles (deg): 90.00 90.00 90.00
Space group P4/nmm (No. 129, origin choice 2)
Asymmetric unit:
Sr1 0.2500 0.2500 0.2364 (multiplicity 2)
Si1 0.2500 0.2500 0.8911 (multiplicity 2)
Sn1 0.2500 0.7500 0.5000 (multiplicity 2)
Pt1 0.2500 0.2500 0.6615 (multiplicity 2)
Pt2 0.2500 0.7500 0.0000 (multiplicity 2)

Summary:
The calculation puts the total moment at 0.003 μB per cell. The calculation puts the total energy at -5.52 eV/atom.